Below is BeAl2Pt after structural relaxation, with properties calculated at the PBE level.

Calculated values
Volume, Å³/atom: 13.4
Fermi-level density of states, states/eV/f.u.: 0.7
Energy, eV/atom: -4.766
ρ, g/cm³: 7.98

```
data_BeAl2Pt
_chemical_formula_sum 'Be2 Al4 Pt2'
_space_group_name_H-M_alt 'I 4/m m m'
_space_group_IT_number 139
_space_group_name_Hall '-I 4 2'
_cell_length_a 3.819
_cell_length_b 3.819
_cell_length_c 7.360
_cell_angle_alpha 90.00
_cell_angle_beta 90.00
_cell_angle_gamma 90.00
loop_
_atom_site_label
_atom_site_type_symbol
_atom_site_fract_x
_atom_site_fract_y
_atom_site_fract_z
Be1 Be 0.000 0.000 0.000
Al1 Al 0.000 0.500 0.250
Pt1 Pt 0.000 0.000 0.500
```